# GGA-PBE Tl2CuAs, relaxed
# uncorrected energy	-13.19	eV per formula unit
# V	25.5	Å³ per atom
# distance to the lowest polymorph of the same formula	0.40	eV per formula unit
data_Tl2CuAs
_chemical_formula_sum 'Tl2 Cu1 As1'
_space_group_name_H-M_alt 'P 1 m 1'
_space_group_IT_number 6
_cell_length_a 5.1102
_cell_length_b 4.2908
_cell_length_c 5.1227
_cell_angle_alpha 90.00
_cell_angle_beta 114.74
_cell_angle_gamma 90.00
loop_
_space_group_symop_operation_xyz
'x,y,z'
'x,-y,z'
loop_
_atom_site_label
_atom_site_fract_x
_atom_site_fract_y
_atom_site_fract_z
Tl1 0.0000 0.0000 0.0000
Tl2 0.3515 0.5000 0.6472
Cu1 0.7497 0.5000 0.2472
As1 0.6336 0.0000 0.3670

# GGA-PBE BiOs4Cl2, relaxed
# uncorrected energy	-33.55	eV per formula unit
# V	23.3	Å³ per atom
# E_form (uncorrected)	2.71	eV/atom
data_BiOs4Cl2
_chemical_formula_sum 'Bi2 Os8 Cl4'
_space_group_name_H-M_alt 'I 4/m m m'
_space_group_IT_number 139
_space_group_name_Hall '-I 4 2'
_cell_length_a 5.0843
_cell_length_b 5.0843
_cell_length_c 12.6132
_cell_angle_alpha 90.00
_cell_angle_beta 90.00
_cell_angle_gamma 90.00
loop_
_atom_site_label
_atom_site_fract_x
_atom_site_fract_y
_atom_site_fract_z
Bi1 0.0000 0.0000 0.0000
Os1 0.0000 0.0000 0.2149
Os2 0.0000 0.5000 0.0000
Cl1 0.0000 0.0000 0.3892

# GGA-PBE Mn3PPt, relaxed
# uncorrected energy	-36.56	eV per formula unit
# V	13.7	Å³ per atom
# distance to the lowest polymorph of the same formula	0.00	eV per formula unit
data_Mn3PPt
_chemical_formula_sum 'Mn3 P1 Pt1'
_space_group_name_H-M_alt 'P m -3 m'
_space_group_IT_number 221
_space_group_name_Hall '-P 4 2 3'
_cell_length_a 4.0903
_cell_length_b 4.0903
_cell_length_c 4.0903
_cell_angle_alpha 90.00
_cell_angle_beta 90.00
_cell_angle_gamma 90.00
loop_
_atom_site_label
_atom_site_fract_x
_atom_site_fract_y
_atom_site_fract_z
Mn1 0.0000 0.0000 0.5000
P1 0.0000 0.0000 0.0000
Pt1 0.5000 0.5000 0.5000

# GGA-PBE NdHoTaN3, relaxed
# uncorrected energy	-52.77	eV per formula unit
# V	17.4	Å³ per atom
# E_form (uncorrected)	-1.10	eV/atom
data_NdHoTaN3
_chemical_formula_sum 'Nd2 Ho2 Ta2 N6'
_space_group_name_H-M_alt 'P 1 21/m 1'
_space_group_IT_number 11
_cell_length_a 6.5576
_cell_length_b 3.3546
_cell_length_c 9.5234
_cell_angle_alpha 90.00
_cell_angle_beta 95.61
_cell_angle_gamma 90.00
loop_
_space_group_symop_operation_xyz
'x,y,z'
'-x,-y,-z'
'-x,y+1/2,-z'
'x,-y+1/2,z'
loop_
_atom_site_label
_atom_site_fract_x
_atom_site_fract_y
_atom_site_fract_z
Nd1 0.2077 0.2500 0.2450
Ho1 0.3372 0.7500 0.8863
Ta1 0.1424 0.2500 0.5804
N1 0.1097 0.2500 0.7854
N2 0.1997 0.7500 0.4686
N3 0.4009 0.7500 0.1233

What is the formula in the second record? BiOs4Cl2